The following is a PBE-GGA calculation of crystalline PmPr7Hg4 at its relaxed geometry, from the Alexandria database.

a = 15.113 Å, b = 5.928 Å, c = 10.172 Å
α = 90.00°, β = 123.01°, γ = 90.00°
Space group C2/m (No. 12)
Symmetry-distinct sites (fractional):
Pm (0.000, 0.000, 0.000) x2
Pr (0.000, 0.500, 0.000) x2
Pr (0.063, 0.000, 0.401) x4
Pr (0.211, 0.000, 0.892) x4
Pr (0.230, 0.500, 0.682) x4
Hg (0.045, 0.500, 0.728) x4
Hg (0.189, 0.500, 0.343) x4

Properties
Formation enthalpy at 0 K: -141 meV/atom
Volume: 764.2 Å³/cell
Mass density: 8.40 g/cm3
Calculated total energy: -3.4252 eV/atom